[1]
VASP calculation (PBE) on a geometry-optimized DyP2Ru4 structure.

Unit cell a=7.483 b=7.483 c=3.787 alpha=90.00 beta=90.00 gamma=90.00
Space group P4_2/mnm (No. 136)
Asymmetric unit:
Dy (0.000, 0.000, 0.000) (multiplicity 2)
P (0.225, 0.225, 0.500) (multiplicity 4)
Ru (0.073, 0.665, 0.500) (multiplicity 8)

Values from the calculation:
V ... 15.1 Å³/atom
Density of states at the Fermi level ... 11.4 states/eV per cell
Formation energy ... -0.70 eV per atom

---

[2]
VASP calculation (PBE) on a geometry-optimized Dy2AlCd structure.

Unit cell a=3.6051 b=3.6051 c=28.5212 alpha=90.00 beta=90.00 gamma=120.00
Space group R-3m (No. 166, hexagonal axes)
Asymmetric unit:
Dy (0.0000, 0.0000, 0.2453) (multiplicity 6)
Al (0.0000, 0.0000, 0.5000) (multiplicity 3)
Cd (0.0000, 0.0000, 0.0000) (multiplicity 3)

Values from the calculation:
V ... 26.8 Å³/atom
Density of states at the Fermi level ... 6.8 states/eV per cell
Formation energy ... -0.18 eV per atom

---

Quick rundown of total energy, same order as above: -8.20 -3.64 eV per atom
Quick rundown of magnetic moment, same order as above: 0.0 0.0 Bohr magnetons per cell
Quick rundown of ρ, same order as above: 9.8 7.2 Mg/m³